The following is a GGA-PBE calculation of crystalline ScBiH6Ir2 at its relaxed geometry, from Alexandria via LeMat-Bulk.

a = 5.978 Å, b = 5.978 Å, c = 6.187 Å
α = 102.68°, β = 102.68°, γ = 100.25°
Fractional positions:
Sc1 0.106 0.894 0.750
Sc2 0.894 0.106 0.250
Bi1 0.363 0.637 0.250
Bi2 0.637 0.363 0.750
H1 0.031 0.832 0.386
H2 0.076 0.585 0.877
H3 0.168 0.969 0.114
H4 0.263 0.283 0.436
H5 0.283 0.263 0.936
H6 0.415 0.924 0.623
H7 0.585 0.076 0.377
H8 0.717 0.737 0.064
H9 0.737 0.717 0.564
H10 0.832 0.031 0.886
H11 0.924 0.415 0.123
H12 0.969 0.168 0.614
Ir1 0.171 0.424 0.671
Ir2 0.424 0.171 0.171
Ir3 0.576 0.829 0.829
Ir4 0.829 0.576 0.329

Properties
**DOS at the Fermi energy**: 4.11 states/eV per cell
**Magnetic moment**: 0.0 Bohr magnetons per cell
**Electronic total energy**: -98.7 eV/cell